An optimized crystal structure of Tc2NiAs2, computed with PBE.

Mass density (g/cm³): 8.37
Symmetry: I4/mmm (139)
Relative energy among the computed polymorphs (meV/atom): 305.1

Geometry as POSCAR:
```
Tc2NiAs2
1.0
-1.8431 1.8431 5.9090
1.8431 -1.8431 5.9090
1.8431 1.8431 -5.9090
Tc Ni As
2 1 2
direct
0.1053 0.1053 0.0000
0.8947 0.8947 0.0000
0.5000 0.5000 0.0000
0.2500 0.7500 0.5000
0.7500 0.2500 0.5000
```